VASP calculation (GGA-PBE) on a relaxed structure of LiPN.

a b c (Å): 5.8119 3.9600 5.6236
angles (deg): 110.61 121.11 90.00
With the nearest neighbours (Å) after each atom.
Positions (direct):
Li (0.6429, 0.1429, 0.2858)  1 N 1.92
Li (0.3571, 0.8571, 0.7142)  1 N 1.92
N (0.1381, 0.6381, 0.2762)  2 P 1.70
N (0.8619, 0.3619, 0.7238)  2 P 1.70
P (0.7957, 0.5000, 0.0000)  2 N 1.70
P (0.2043, 0.5000, 0.0000)  2 N 1.70

DOS at the Fermi energy ... 0.45 states/eV/f.u.
Formation energy from raw total energies ... -181 meV/atom
Crystal system ... orthorhombic